Material: La2MoO
Method: DFT, PBE with a Hubbard U
State: relaxed

Geometry as CIF:
```
data_La2MoO
_chemical_formula_sum 'La8 Mo4 O4'
_cell_length_a 7.2149
_cell_length_b 7.2149
_cell_length_c 8.9166
_cell_angle_alpha 90.00
_cell_angle_beta 90.00
_cell_angle_gamma 90.00
_space_group_name_H-M_alt 'I -4 2 d'
_space_group_IT_number 122
_space_group_name_Hall 'I -4 2bw'
loop_
_atom_site_label
_atom_site_type_symbol
_atom_site_fract_x
_atom_site_fract_y
_atom_site_fract_z
_atom_site_occupancy
La1 La 0.1410 0.2500 0.1250 1
Mo1 Mo 0.0000 0.0000 0.5000 1
O1 O 0.0000 0.0000 0.0000 1
```

## Properties
The calculation puts the total energy at -6.302 eV/atom. As for the density: 5577 kg/m³.